Entry 1:
Material: SrBPd
Method: DFT, PBE
State: relaxed

The space group is P-1 (No. 2) and the conventional cell measures 4.219, 4.436 and 7.444 Å, with angles of 105.09, 106.39 and 90.00 degrees. Symmetry generates all atoms from Sr at (0.115, 0.402, 0.230), B at (0.454, 0.064, 0.908) and Pd at (0.310, 0.033, 0.620).

As for the volume: 21.44 A^3/atom. The value obtained for the total energy is -4.702 eV/atom. The value obtained for the formation energy is -0.18 eV/atom. The excess energy over the best structure of this formula in the dataset comes out at 181 meV per atom.

---

Entry 2:
Material: Sr2BPd4
Method: DFT, PBE
State: relaxed

The space group is I4/mmm (No. 139) and the conventional cell measures 4.346, 4.346 and 16.038 Å, with angles of 90.00, 90.00 and 90.00 degrees. Symmetry generates all atoms from Sr at (0.000, 0.000, 0.156), B at (0.000, 0.000, 0.500), Pd at (0.000, 0.000, 0.372) and Pd at (0.000, 0.500, 0.000).

As for the volume: 21.64 A^3/atom. The value obtained for the total energy is -4.844 eV/atom. The value obtained for the formation energy is -0.44 eV/atom.

---

Entry 3:
Material: SrB2Pd7
Method: DFT, PBE
State: relaxed

The space group is Cmmm (No. 65) and the conventional cell measures 7.030, 11.199 and 4.248 Å, with angles of 90.00, 90.00 and 90.00 degrees. Symmetry generates all atoms from Sr at (0.000, 0.000, 0.000), B at (0.000, 0.291, 0.500), Pd at (0.000, 0.328, 0.000), Pd at (0.000, 0.500, 0.500) and Pd at (0.196, 0.140, 0.500).

As for the volume: 16.72 A^3/atom. The value obtained for the total energy is -5.300 eV/atom. The value obtained for the formation energy is -0.16 eV/atom.

---

Entry 4:
Material: SrBPd
Method: DFT, PBE
State: relaxed

The space group is C2/m (No. 12) and the conventional cell measures 7.061, 9.390 and 4.244 Å, with angles of 90.00, 119.24 and 90.00 degrees. Symmetry generates all atoms from Sr at (0.000, 0.190, 0.000), B at (0.101, 0.500, 0.715) and Pd at (0.207, 0.500, 0.287).

As for the volume: 20.46 A^3/atom. The value obtained for the total energy is -4.799 eV/atom. The value obtained for the formation energy is -0.28 eV/atom. The excess energy over the best structure of this formula in the dataset comes out at 84 meV per atom.

---

Entry 5:
Material: SrBPd2
Method: DFT, PBE
State: relaxed

The space group is I4_1/amd (No. 141, origin choice 2) and the conventional cell measures 5.234, 5.234 and 13.058 Å, with angles of 90.00, 90.00 and 90.00 degrees. Symmetry generates all atoms from Sr at (0.000, 0.250, 0.375), B at (0.000, 0.250, 0.875) and Pd at (0.000, 0.000, 0.000).

As for the volume: 22.36 A^3/atom. The value obtained for the total energy is -4.917 eV/atom. The value obtained for the formation energy is -0.23 eV/atom.

---

Entry 6:
Material: SrTcBPd2
Method: DFT, PBE
State: relaxed

The space group is P4/mmm (No. 123) and the conventional cell measures 4.762, 4.762 and 5.718 Å, with angles of 90.00, 90.00 and 90.00 degrees. Symmetry generates all atoms from Sr at (0.000, 0.000, 0.000), Tc at (0.000, 0.000, 0.500), B at (0.500, 0.500, 0.000) and Pd at (0.000, 0.500, 0.500).

As for the volume: 25.93 A^3/atom. The value obtained for the total energy is -4.200 eV/atom. The value obtained for the formation energy is 1.62 eV/atom. The excess energy over the best structure of this formula in the dataset comes out at 0 meV per atom.

---

Entry 7:
Material: SrTcB2Pd
Method: DFT, PBE
State: relaxed

The space group is P4/mmm (No. 123) and the conventional cell measures 4.645, 4.645 and 5.207 Å, with angles of 90.00, 90.00 and 90.00 degrees. Symmetry generates all atoms from Sr at (0.000, 0.000, 0.000), Tc at (0.000, 0.000, 0.500), B at (0.000, 0.500, 0.000) and Pd at (0.500, 0.500, 0.500).

As for the volume: 22.47 A^3/atom. The value obtained for the total energy is -3.113 eV/atom. The value obtained for the formation energy is 3.01 eV/atom.

---

Entry 8:
Material: SrTcBPd2
Method: DFT, PBE
State: relaxed

The space group is P4/mmm (No. 123) and the conventional cell measures 5.084, 5.084 and 5.446 Å, with angles of 90.00, 90.00 and 90.00 degrees. Symmetry generates all atoms from Sr at (0.000, 0.000, 0.000), Tc at (0.000, 0.000, 0.500), B at (0.500, 0.500, 0.500) and Pd at (0.000, 0.500, 0.000).

As for the volume: 28.15 A^3/atom. The value obtained for the total energy is -3.262 eV/atom. The value obtained for the formation energy is 2.56 eV/atom. The excess energy over the best structure of this formula in the dataset comes out at 938 meV per atom.